Record 1
A relaxed PrMg2Cu2 crystal. Source: Alexandria, functional GGA-PBE.

Lattice parameters (Å, degrees): 6.702 6.702 8.285 90.00 90.00 145.48
Fractional coordinates of all 10 atoms:
Pr 0.091 0.909 0.500
Pr 0.909 0.091 0.000
Mg 0.189 0.811 0.110
Mg 0.381 0.619 0.355
Mg 0.619 0.381 0.855
Mg 0.811 0.189 0.610
Cu 0.264 0.736 0.812
Cu 0.443 0.557 0.687
Cu 0.557 0.443 0.187
Cu 0.736 0.264 0.312

Properties
relative energy among the computed polymorphs = 0.00 kJ/mol of atoms
density of states at the Fermi level = 4.0 states/eV/f.u.
V = 21.1 Å³/atom
ΔE_f = -0.63 eV per formula unit

=====

Record 2
A relaxed PrMg6Cu2 crystal. Source: Alexandria, functional GGA-PBE.

Lattice parameters (Å, degrees): 6.977 6.977 4.747 109.71 109.71 78.44
Fractional coordinates of all 9 atoms:
Pr 0.000 0.000 0.000
Mg 0.128 0.456 0.792
Mg 0.307 0.693 0.500
Mg 0.456 0.128 0.792
Mg 0.544 0.872 0.208
Mg 0.693 0.307 0.500
Mg 0.872 0.544 0.208
Cu 0.291 0.291 0.291
Cu 0.709 0.709 0.709

Properties
density of states at the Fermi level = 6.8 states/eV/f.u.
V = 22.6 Å³/atom
ΔE_f = -0.17 eV per formula unit

=====

no.,electronic total energy (eV per atom)
1,-3.36
2,-2.52